[1]
Compound: LiMoCl4
Source: Alexandria
Functional: PBE-GGA
Structure: relaxed

The total energy is -4.4660 eV/atom. The distance to the lowest polymorph of the same formula is 3.0 kJ per mole of atoms. The calculation puts the energy relative to the elements, uncorrected at -1111 meV/atom. Its space group is C2/c.

Unit cell a=5.438 b=7.056 c=8.311 alpha=108.54 beta=100.90 gamma=108.99
Positions (direct):
Li 0.503 0.753 0.506
Li 0.497 0.247 0.494
Mo 0.794 0.044 0.087
Mo 0.206 0.956 0.913
Cl 0.335 0.019 0.654
Cl 0.046 0.830 0.125
Cl 0.182 0.365 0.346
Cl 0.421 0.704 0.875
Cl 0.665 0.981 0.346
Cl 0.818 0.635 0.654
Cl 0.954 0.170 0.875
Cl 0.579 0.296 0.125


[2]
Compound: La2Pm6Sm3Y
Source: Alexandria
Functional: PBE-GGA
Structure: relaxed

The total energy is -4.8986 eV/atom. Its space group is C2/m.

Unit cell a=6.334 b=6.334 c=12.140 alpha=95.02 beta=95.02 gamma=119.99
Positions (direct):
La 0.333 0.667 0.000
La 0.667 0.333 0.000
Pm 0.916 0.583 0.748
Pm 0.752 0.752 0.253
Pm 0.084 0.417 0.252
Pm 0.583 0.916 0.748
Pm 0.248 0.248 0.747
Pm 0.417 0.084 0.252
Sm 0.166 0.834 0.500
Sm 0.834 0.166 0.500
Sm 0.500 0.500 0.500
Y 0.000 0.000 0.000


[3]
Compound: Mn3SiB
Source: Alexandria
Functional: PBE-GGA
Structure: relaxed

The total energy is -7.9500 eV/atom. The distance to the lowest polymorph of the same formula is 7.5 kJ per mole of atoms. The calculation puts the energy relative to the elements, uncorrected at -28 meV/atom. Its space group is Pm-3m.

Unit cell a=3.807 b=3.807 c=3.807 alpha=90.00 beta=90.00 gamma=90.00
Positions (direct):
Si 0.500 0.500 0.500
Mn 0.000 0.500 0.000
Mn 0.000 0.000 0.500
Mn 0.500 0.000 0.000
B 0.000 0.000 0.000


[4]
Compound: SrNbBi2O8
Source: Alexandria
Functional: PBE-GGA
Structure: relaxed

The total energy is -6.6353 eV/atom. The calculation puts the energy relative to the elements, uncorrected at -1704 meV/atom. Its space group is Cmmm.

Unit cell a=5.106 b=5.106 c=6.969 alpha=90.00 beta=90.00 gamma=87.81
Positions (direct):
Sr 0.000 0.000 0.500
Nb 0.000 0.000 0.000
Bi 0.500 0.500 0.755
Bi 0.500 0.500 0.245
O 0.192 0.808 0.207
O 0.707 0.707 0.000
O 0.808 0.192 0.207
O 0.808 0.192 0.793
O 0.293 0.293 0.000
O 0.192 0.808 0.793
O 0.675 0.675 0.500
O 0.325 0.325 0.500


[5]
Compound: ScMnTe2N
Source: Alexandria
Functional: PBE-GGA
Structure: relaxed

The total energy is -5.7269 eV/atom. The distance to the lowest polymorph of the same formula is 47.4 kJ per mole of atoms. The calculation puts the energy relative to the elements, uncorrected at 295 meV/atom. Its space group is P4/mmm.

Unit cell a=5.711 b=5.711 c=3.898 alpha=90.00 beta=90.00 gamma=90.00
Positions (direct):
Sc 0.000 0.000 0.000
Te 0.000 0.500 0.000
Te 0.500 0.000 0.000
Mn 0.500 0.500 0.500
N 0.000 0.000 0.500


[6]
Compound: LaZn3O
Source: Alexandria
Functional: PBE-GGA
Structure: relaxed

The total energy is -1.4882 eV/atom. The distance to the lowest polymorph of the same formula is 129.0 kJ per mole of atoms. The calculation puts the energy relative to the elements, uncorrected at 1253 meV/atom. Its space group is Pm-3m.

Unit cell a=5.894 b=5.894 c=5.894 alpha=90.00 beta=90.00 gamma=90.00
Positions (direct):
Zn 0.000 0.500 0.000
Zn 0.000 0.000 0.500
Zn 0.500 0.000 0.000
O 0.500 0.500 0.500
La 0.000 0.000 0.000